A geometry-optimized Pr3TlAgHg2Pd2 structure, computed with PBE.

Cell lengths 3.9821, 13.7980, 7.9656 Å; angles 90.00, 90.00, 90.00 degrees
Space group Amm2 (No. 38)
One atom of each set of equivalent atoms:
1 Pr 0.0000 0.0000 0.0000 (multiplicity 2)
2 Pr 0.0000 0.2073 0.3914 (multiplicity 4)
3 Tl 0.5000 0.0000 0.3330 (multiplicity 2)
4 Ag 0.0000 0.0000 0.5967 (multiplicity 2)
5 Hg 0.5000 0.1335 0.7277 (multiplicity 4)
6 Pd 0.5000 0.1656 0.0966 (multiplicity 4)

Computed properties:
E_tot	-0.2916	Ry/atom